1.
A plane-wave DFT calculation with GGA-PBE was carried out for an optimized crystal structure of Zr2Ag2Hg.

Unit cell a=8.3953 b=8.3953 c=3.0829 alpha=90.00 beta=90.00 gamma=90.00
With the nearest neighbours (Å) after each atom.
Element x y z (fractional)
Zr 0.1713 0.3287 0.0000  6 Ag 2.89-2.94, 2 Zr 3.08, 2 Hg 3.11
Zr 0.3287 0.8287 0.0000  6 Ag 2.89-2.94, 2 Zr 3.08, 2 Hg 3.11
Zr 0.6713 0.1713 0.0000  6 Ag 2.89-2.94, 2 Zr 3.08, 2 Hg 3.11
Zr 0.8287 0.6713 0.0000  6 Ag 2.89-2.94, 2 Zr 3.08, 2 Hg 3.11
Ag 0.1233 0.6233 0.5000  6 Zr 2.89-2.94, 3 Ag 2.93-3.08
Ag 0.3767 0.1233 0.5000  6 Zr 2.89-2.94, 3 Ag 2.93-3.08
Ag 0.6233 0.8767 0.5000  6 Zr 2.89-2.94, 3 Ag 2.93-3.08
Ag 0.8767 0.3767 0.5000  6 Zr 2.89-2.94, 3 Ag 2.93-3.08
Hg 0.0000 0.0000 0.0000  2 Hg 3.08, 4 Zr 3.11
Hg 0.5000 0.5000 0.0000  2 Hg 3.08, 4 Zr 3.11

The symmetry is P4/mbm (127). As for the polymorph energy (0 for the lowest one): 0.222 eV/atom.


2.
A plane-wave DFT calculation with GGA-PBE was carried out for an optimized crystal structure of Zr2AgHg4.

Unit cell a=8.2898 b=8.2898 c=8.2898 alpha=34.02 beta=34.02 gamma=34.02
With the nearest neighbours (Å) after each atom.
Element x y z (fractional)
Zr 0.2464 0.2464 0.2464  8 Hg 2.89-3.04
Zr 0.7536 0.7536 0.7536  8 Hg 2.89-3.04
Ag 0.5000 0.5000 0.5000  8 Hg 3.03-3.04, 6 Zr 3.37
Hg 0.1172 0.1172 0.1172  4 Zr 2.89-3.03, 3 Ag 3.03
Hg 0.3699 0.3699 0.3699  4 Zr 2.89-3.04, 1 Ag 3.04
Hg 0.6301 0.6301 0.6301  4 Zr 2.89-3.04, 1 Ag 3.04
Hg 0.8828 0.8828 0.8828  4 Zr 2.89-3.03, 3 Ag 3.03

The symmetry is R-3m (166).


3.
A plane-wave DFT calculation with GGA-PBE was carried out for an optimized crystal structure of Zr4AgHg.

Unit cell a=5.7408 b=5.7408 c=5.7408 alpha=60.00 beta=60.00 gamma=60.00
With the nearest neighbours (Å) after each atom.
Element x y z (fractional)
Zr 0.1251 0.1251 0.1251  6 Zr 2.87
Zr 0.1251 0.1251 0.6246  6 Zr 2.87
Zr 0.1251 0.6246 0.1251  6 Zr 2.87
Zr 0.6246 0.1251 0.1251  6 Zr 2.87
Ag 0.7500 0.7500 0.7500  12 Zr 3.37, 4 Hg 3.52
Hg 0.5000 0.5000 0.5000  12 Zr 3.37, 4 Ag 3.52

The symmetry is F-43m (216). As for the polymorph energy (0 for the lowest one): 0.426 eV/atom.


4.
A plane-wave DFT calculation with GGA-PBE was carried out for an optimized crystal structure of ZrAgHg2.

Unit cell a=4.8992 b=4.8992 c=4.8992 alpha=120.64 beta=120.64 gamma=88.90
With the nearest neighbours (Å) after each atom.
Element x y z (fractional)
Zr 0.0000 0.0000 0.0000  4 Ag 2.99, 4 Hg 2.99
Ag 0.7500 0.2500 0.5000  4 Hg 2.99, 4 Zr 2.99
Hg 0.2500 0.7500 0.5000  4 Zr 2.99, 4 Hg 2.99
Hg 0.5000 0.5000 0.0000  4 Ag 2.99, 4 Hg 2.99

The symmetry is I-4m2 (119).


5.
A plane-wave DFT calculation with GGA-PBE was carried out for an optimized crystal structure of Zr2AgHg.

Unit cell a=5.3598 b=5.3598 c=5.3598 alpha=132.21 beta=132.21 gamma=69.89
With the nearest neighbours (Å) after each atom.
Element x y z (fractional)
Zr 0.2500 0.7500 0.5000  4 Zr 3.07, 4 Hg 3.09, 4 Ag 3.09
Zr 0.7500 0.2500 0.5000  4 Zr 3.07, 4 Hg 3.09, 4 Ag 3.09
Ag 0.0000 0.0000 0.0000  4 Hg 3.07, 8 Zr 3.09
Hg 0.5000 0.5000 0.0000  4 Ag 3.07, 8 Zr 3.09

The symmetry is I4/mmm (139).


6.
A plane-wave DFT calculation with GGA-PBE was carried out for an optimized crystal structure of Zr2AgHg.

Unit cell a=10.2395 b=10.2395 c=10.2395 alpha=17.59 beta=17.59 gamma=17.59
With the nearest neighbours (Å) after each atom.
Element x y z (fractional)
Zr 0.0000 0.0000 0.0000  3 Ag 3.05, 6 Zr 3.13, 3 Hg 3.14
Zr 0.1629 0.1629 0.1629  3 Ag 3.06, 6 Zr 3.13, 3 Hg 3.15
Ag 0.7478 0.7478 0.7478  6 Zr 3.05-3.06, 6 Ag 3.13
Hg 0.5817 0.5817 0.5817  6 Hg 3.13, 6 Zr 3.14-3.15

The symmetry is R3m (160).


7.
A plane-wave DFT calculation with GGA-PBE was carried out for an optimized crystal structure of ZrAgHg2.

Unit cell a=3.1065 b=4.2929 c=6.3832 alpha=90.00 beta=90.00 gamma=90.00
With the nearest neighbours (Å) after each atom.
Element x y z (fractional)
Zr 0.0000 0.0000 0.0000  6 Hg 3.05-3.31, 4 Ag 3.08, 2 Zr 3.11
Ag 0.5000 0.5000 0.2459  6 Hg 3.05-3.31, 4 Zr 3.08, 2 Ag 3.11
Hg 0.0000 0.0000 0.4818  4 Ag 3.05, 2 Zr 3.08-3.31, 6 Hg 3.11-3.21
Hg 0.5000 0.5000 0.7645  4 Zr 3.05, 2 Ag 3.07-3.31, 6 Hg 3.11-3.21

The symmetry is Pmm2 (25).


8.
A plane-wave DFT calculation with GGA-PBE was carried out for an optimized crystal structure of Zr2AgHg.

Unit cell a=4.9461 b=4.9461 c=4.9461 alpha=60.00 beta=60.00 gamma=60.00
With the nearest neighbours (Å) after each atom.
Element x y z (fractional)
Zr 0.0000 0.0000 0.0000  4 Ag 3.03, 4 Zr 3.03
Zr 0.2500 0.2500 0.2500  4 Zr 3.03, 4 Hg 3.03
Ag 0.7500 0.7500 0.7500  4 Zr 3.03, 4 Hg 3.03
Hg 0.5000 0.5000 0.5000  4 Ag 3.03, 4 Zr 3.03

The symmetry is F-43m (216).


| no. | calculated formation energy (eV/atom) | spin magnetization (μB per formula unit) | uncorrected energy (eV/atom) |
| --- | --- | --- | --- |
| 1 | 0.141 | 0.0 | -4.479 |
| 2 | 0.031 | 0.0 | -2.992 |
| 3 | 0.302 | 0.0 | -5.922 |
| 4 | 0.021 | 0.0 | -2.980 |
| 5 | -0.099 | 0.0 | -5.161 |
| 6 | 0.044 | 0.0 | -5.018 |
| 7 | 0.024 | 0.0 | -2.977 |
| 8 | 0.168 | 2.9 | -4.895 |